No. 1
Density functional theory data (GGA-PBE) for a relaxed structure of Ba2CaIn.

The formation energy is -0.80 eV per formula unit. The value obtained for the energy above the most stable polymorph in this dataset is 0.0468 eV/atom.

The space group is P4mm (No. 99) and the conventional cell measures 4.187, 4.187 and 10.403 Å, with angles of 90.00, 90.00 and 90.00 degrees. The asymmetric unit holds Ba at (0.000, 0.000, 0.000), Ba at (0.500, 0.500, 0.352), Ca at (0.000, 0.000, 0.639) and In at (0.500, 0.500, 0.785).

***

No. 2
Density functional theory data (GGA-PBE) for a relaxed structure of BaCa2InIr.

The formation energy is 1.27 eV per formula unit. The value obtained for the energy above the most stable polymorph in this dataset is 0.5322 eV/atom.

The space group is P4/mmm (No. 123) and the conventional cell measures 5.851, 5.851 and 5.141 Å, with angles of 90.00, 90.00 and 90.00 degrees. The asymmetric unit holds Ba at (0.000, 0.000, 0.000), Ca at (0.000, 0.500, 0.500), In at (0.500, 0.500, 0.500) and Ir at (0.500, 0.500, 0.000).

***

No. 3
Density functional theory data (GGA-PBE) for a relaxed structure of Ba2CaIn12Ir3.

The formation energy is -0.61 eV per formula unit.

The space group is R-3m (No. 166, hexagonal axes) and the conventional cell measures 10.0681, 10.0681 and 20.6237 Å, with angles of 90.00, 90.00 and 120.00 degrees. The asymmetric unit holds Ba at (0.0000, 0.0000, 0.0947), Ca at (0.0000, 0.0000, 0.5000), In at (0.0255, 0.5127, 0.8719), In at (0.0988, 0.5494, 0.3265) and Ir at (0.0000, 0.5000, 0.0000).

***

No. 4
Density functional theory data (GGA-PBE) for a relaxed structure of BaCa2InIr.

The formation energy is -1.39 eV per formula unit. The value obtained for the energy above the most stable polymorph in this dataset is 0.0000 eV/atom.

The space group is P4/mmm (No. 123) and the conventional cell measures 5.553, 5.553 and 5.358 Å, with angles of 90.00, 90.00 and 90.00 degrees. The asymmetric unit holds Ba at (0.000, 0.000, 0.000), Ca at (0.000, 0.500, 0.500), In at (0.500, 0.500, 0.000) and Ir at (0.500, 0.500, 0.500).

***

No. 5
Density functional theory data (GGA-PBE) for a relaxed structure of KBaCaIn.

The formation energy is -0.49 eV per formula unit.

The space group is F-43m (No. 216) and the conventional cell measures 8.583, 8.583 and 8.583 Å, with angles of 90.00, 90.00 and 90.00 degrees. The asymmetric unit holds K at (0.000, 0.000, 0.000), Ba at (0.250, 0.250, 0.250), Ca at (0.250, 0.250, 0.750) and In at (0.000, 0.000, 0.500).

***

No. 6
Density functional theory data (GGA-PBE) for a relaxed structure of BaCa2LaIn4.

The formation energy is -3.60 eV per formula unit.

The space group is R-3m (No. 166, hexagonal axes) and the conventional cell measures 5.6321, 5.6321 and 27.8327 Å, with angles of 90.00, 90.00 and 120.00 degrees. The asymmetric unit holds Ba at (0.0000, 0.0000, 0.0000), Ca at (0.0000, 0.0000, 0.2496), La at (0.0000, 0.0000, 0.5000), In at (0.0000, 0.0000, 0.1272) and In at (0.0000, 0.0000, 0.3806).

***

No. 7
Density functional theory data (GGA-PBE) for a relaxed structure of Ba2Li2CaIn5.

The formation energy is -3.71 eV per formula unit.

The space group is P4/mbm (No. 127) and the conventional cell measures 11.045, 11.045 and 4.719 Å, with angles of 90.00, 90.00 and 90.00 degrees. The asymmetric unit holds Ba at (0.182, 0.318, 0.000), Li at (0.110, 0.610, 0.000), Ca at (0.000, 0.000, 0.000), In at (0.000, 0.500, 0.500) and In at (0.062, 0.784, 0.500).

***

No. 8
Density functional theory data (GGA-PBE) for a relaxed structure of BaLiCaIn.

The formation energy is -0.95 eV per formula unit.

The space group is F-43m (No. 216) and the conventional cell measures 8.187, 8.187 and 8.187 Å, with angles of 90.00, 90.00 and 90.00 degrees. The asymmetric unit holds Ba at (0.000, 0.000, 0.000), Li at (0.250, 0.250, 0.250), Ca at (0.000, 0.000, 0.500) and In at (0.250, 0.250, 0.750).